A.
Compound: CaSc2Pt2
Source: Alexandria via LeMat-Bulk
Functional: PBE
Structure: optimized geometry

Structure (POSCAR):
```
CaSc2Pt2
1.0
4.915 0.000 0.000
0.000 4.915 0.000
2.458 2.458 5.074
Pt Sc Ca
2 2 1
Direct
0.750 0.250 0.500
0.250 0.750 0.500
0.656 0.656 0.687
0.344 0.344 0.313
0.000 0.000 0.000
```

B.
Compound: CaSc2Pt2
Source: Alexandria via LeMat-Bulk
Functional: PBE
Structure: optimized geometry

Structure (POSCAR):
```
CaSc2Pt2
1.0
-0.445 -1.565 -4.103
4.377 0.174 -0.541
2.432 -6.131 -0.300
Pt Sc Ca
2 2 1
Direct
0.385 0.385 0.231
0.615 0.615 0.769
0.250 0.750 0.500
0.750 0.250 0.500
0.000 0.000 0.000
```

Of all the structures shown, which is most stable? B, and A is the least stable.